# Cs2Zn2Ir

An optimized crystal structure of Cs2Zn2Ir (GGA-PBEsol, Alexandria via LeMat-Bulk).

Summary:
The calculation puts the formation energy from the elements at 0.606 eV/atom. For the total energy, the calculation gives -11.84 eV/cell. Its space group is No. 139.

abc: 5.9661 5.9661 5.9661
angles: 105.42 111.53 111.53
With the nearest neighbours (Å) after each atom.
Atoms (fractional coordinates):
Cs  0.5000  0.7500  0.2500  4 Zn 3.41, 2 Cs 3.61, 4 Ir 3.81
Cs  0.5000  0.2500  0.7500  4 Zn 3.41, 2 Cs 3.61, 4 Ir 3.81
Zn  0.0000  0.6690  0.6690  1 Ir 2.39, 1 Zn 2.44
Zn  0.0000  0.3310  0.3310  1 Ir 2.39, 1 Zn 2.44
Ir  0.0000  0.0000  0.0000  2 Zn 2.39